1.
Compound: Sc3Tl
Source: the Alexandria database
Functional: PBEsol
Structure: relaxed

```
Sc3Tl
1.0
0.000 3.543 3.543
3.543 0.000 3.543
3.543 3.543 0.000
Sc Tl
3 1
Direct
0.000 0.000 0.000 Sc
0.250 0.250 0.250 Sc
0.750 0.750 0.750 Sc
0.500 0.500 0.500 Tl
```

Calculated values
Space-group type   Fm-3m (225)
Formation energy   -2.65 kcal/mol of atoms


2.
Compound: ReH2Rh
Source: the Alexandria database
Functional: PBEsol
Structure: relaxed

```
ReH2Rh
1.0
0.000 2.598 2.598
2.598 0.000 2.598
2.598 2.598 0.000
Re H Rh
1 2 1
Direct
0.000 0.000 0.000 Re
0.250 0.250 0.250 H
0.750 0.750 0.750 H
0.500 0.500 0.500 Rh
```

Calculated values
Energy relative to the lowest polymorph listed for this composition   648 meV per atom
Space-group type   Fm-3m (225)


Asked for E_tot across the records above, the calculation gives -22.9; -24.6 eV/f.u. in order.
Asked for calculated volume across the records above, the calculation gives 22.24; 8.77 Å³/atom in order.
Asked for total moment across the records above, the calculation gives 1.70; 0.00 μB per formula unit in order.